LaRu2Cl: relaxed, PBE-GGA.

Summary:
V = 81.4 Å³ per cell
ΔE to the lowest computed polymorph = 0.128 eV/atom
DFT total energy = -6.44 eV/atom
formation energy from raw total energies = -0.1090 eV per atom

a b c (Å): 4.6620 4.6620 5.4334
angles (deg): 67.87 67.87 49.23
Last column: magnetic moment on the atom in μB.
Atoms (fractional coordinates):
Ru: 0.0369 0.0369 0.8465  0.14
Ru: 0.7298 0.7298 0.8292  0.16
Cl: 0.4624 0.4624 0.5891  0.00
La: 0.2708 0.2708 0.2351  0.00